(1)
A plane-wave DFT calculation with PBE was carried out for a relaxed AcTbTe crystal.

```
AcTbTe
1.0
3.585 -3.481 -2.500
0.519 -5.257 1.821
-1.919 -4.233 -3.102
Tb Ac Te
1 1 1
direct
0.250 0.250 0.250
0.000 0.000 0.000
0.750 0.750 0.750
```

DFT total energy (eV for the cell shown): -11.2
Space-group type: No. 216

=====

(2)
A plane-wave DFT calculation with PBE was carried out for a relaxed AcTbTe crystal.

```
AcTbTe
1.0
3.508 -2.613 -3.104
3.640 -3.255 2.220
-0.413 -5.311 -0.630
Tb Ac Te
1 1 1
direct
0.750 0.750 0.750
0.250 0.250 0.250
0.000 0.000 0.000
```

DFT total energy (eV for the cell shown): -13.3
Space-group type: No. 216